Entry 1:
8
Lattice="3.7866 0.0000 0.0000 0.0000 7.5400 0.0000 0.0000 0.0000 5.4609" Properties=species:S:1:pos:R:3 comment="GdHfSi2 PBE optimized geometry" final_energy_ev_per_atom=-7.140 crystal_system=orthorhombic pbc="T T T"
Gd 0.0000 0.5559 0.0000
Gd 1.8933 6.9841 2.7305
Hf 0.0000 4.2655 1.4138
Hf 1.8933 3.2744 4.1443
Si 0.0000 1.7271 2.8082
Si 0.0000 5.2289 4.0488
Si 1.8933 2.3110 1.3183
Si 1.8933 5.8129 0.0778

Entry 2:
14
Lattice="7.2304 0.0000 0.0000 -3.6152 6.2617 0.0000 0.0000 0.0000 4.5982" Properties=species:S:1:pos:R:3 comment="Zn4Pt3 PBE optimized geometry" final_energy_ev_per_atom=-3.683 crystal_system=hexagonal pbc="T T T"
Zn -1.0398 2.8821 1.1496
Zn 0.0000 4.1745 3.4487
Zn -0.5993 5.7211 1.1496
Zn 1.9761 2.3415 3.4487
Zn 1.6391 3.9201 1.1496
Zn 4.2145 0.5406 3.4487
Zn 3.6152 2.0872 1.1496
Zn 4.6550 3.3795 3.4487
Pt -0.6174 1.6037 3.4487
Pt -1.9177 5.9946 3.4487
Pt 1.0801 1.3365 1.1496
Pt 2.5351 4.9251 3.4487
Pt 5.5329 0.2671 1.1496
Pt 4.2326 4.6580 1.1496

Entry 3:
12
Lattice="1.7581 -8.3854 0.0000 1.7581 8.3854 0.0000 0.0000 0.0000 10.3829" Properties=species:S:1:pos:R:3 comment="CsSiAgSeS2 PBE optimized geometry" final_energy_ev_per_atom=-3.844 crystal_system=orthorhombic pbc="T T T"
Cs 1.7581 4.6059 7.7872
Cs 1.7581 -4.6059 2.5957
Si 1.7581 0.0000 0.0000
Si 1.7581 0.0000 5.1915
Ag 1.7581 6.9349 2.5957
Ag 1.7581 -6.9349 7.7872
Se 1.7581 0.7081 2.5957
Se 1.7581 -0.7081 7.7872
S 1.7581 6.7590 0.1937
S 1.7581 6.7590 4.9978
S 1.7581 -6.7590 5.3851
S 1.7581 -6.7590 10.1893

Entry 4:
4
Lattice="0.0000 3.5572 3.5572 3.5572 0.0000 3.5572 3.5572 3.5572 0.0000" Properties=species:S:1:pos:R:3 comment="Y2HfTc PBE optimized geometry" final_energy_ev_per_atom=-8.089 crystal_system=cubic pbc="T T T"
Y 0.0000 0.0000 0.0000
Y 1.7786 1.7786 1.7786
Hf 5.3357 5.3357 5.3357
Tc 3.5572 3.5572 3.5572